{
  "formula": "Te2RhBr",
  "functional": "PBE",
  "state": "relaxed",
  "formation_energy_uncorrected_ev_per_fu": 2.10,
  "sg": "F-43m",
  "lattice": [[5.0574, 0.0000, 0.0000], [2.5287, 4.3799, 0.0000], [2.5287, 1.4600, 4.1294]],
  "species": ["Br", "Te", "Te", "Rh"],
  "fractional_positions": [[0.5000, 0.5000, 0.5000], [0.2500, 0.2500, 0.2500], [0.0000, 0.0000, 0.0000], [0.7500, 0.7500, 0.7500]]
}